# 1
Density functional theory data (PBEsol) for Sr2CdWO6 after structural relaxation.

POSCAR file:
```
Sr2CdWO6
1.0
5.7271 0.0000 0.0000
0.0000 5.9754 0.0000
0.0000 0.0000 8.1940
W O Cd Sr
2 12 2 4
Cartesian
0.0000 4.5505 0.0000
2.8635 1.4249 4.0970
1.3993 3.2895 0.0000
1.5319 5.9731 4.0970
4.2629 2.6859 4.0970
0.0000 4.6635 1.9111
1.3316 0.0024 0.0000
4.3277 3.2895 0.0000
0.0000 4.6635 6.2829
2.8635 1.3119 6.0081
1.4642 2.6859 4.0970
2.8635 1.3119 2.1859
4.1952 5.9731 4.0970
4.3954 0.0024 0.0000
0.0000 4.3399 4.0970
2.8635 1.6355 0.0000
0.0000 1.2461 2.1539
0.0000 1.2461 6.0401
2.8635 4.7293 6.2509
2.8635 4.7293 1.9431
```

- ΔE_f (raw) (eV/atom) = -2.3348
- total magnetic moment (μB per formula unit) = 0.00
- V (Å³ per cell) = 280.41
- crystal system = orthorhombic

***

# 2
Density functional theory data (PBEsol) for Ta2Cd2O7 after structural relaxation.

POSCAR file:
```
Ta2Cd2O7
1.0
-4.0902 0.2294 6.0992
-5.9215 -4.3057 0.6162
0.0507 -5.6698 4.6726
Ta O Cd
4 14 4
Cartesian
-1.2198 -4.0532 3.7598
-4.2059 -3.3711 1.7316
-3.2903 -1.1036 4.4731
-1.2451 -1.2183 1.4235
-2.1266 -2.6558 4.8092
-4.4032 -5.2212 8.8097
-2.8539 -2.2173 0.8849
-4.4344 -2.1286 3.2417
-2.8343 -4.4082 2.6905
-0.5461 -2.7444 2.4523
-5.5268 -8.0038 5.4454
-7.4708 -7.3096 8.5411
-4.9805 -4.8730 5.6940
-4.4343 -1.7423 5.9426
-1.8935 -5.3619 5.0673
-5.5579 -4.5249 2.5784
-8.0676 -4.3842 6.3208
-2.1462 -0.4648 3.0036
-3.2649 -3.9385 6.8094
-6.2257 -6.0913 7.1176
-6.2510 -3.2564 4.7812
-4.1805 -6.2060 4.0680
```

- ΔE_f (raw) (eV/atom) = -2.2390
- total magnetic moment (μB per formula unit) = 0.00
- V (Å³ per cell) = 280.46
- crystal system = cubic